[1]
The following is a DFT calculation (GGA-PBE) of a relaxed YMg2Au crystal.

Unit cell a=8.695 b=8.695 c=8.695 alpha=25.25 beta=25.25 gamma=25.25
Sites, in units of the cell vectors:
Mg (0.256, 0.256, 0.256)
Mg (0.013, 0.013, 0.013)
Y (0.487, 0.487, 0.487)
Au (0.744, 0.744, 0.744)

## Properties
ΔE_f	-21.52	kJ/mol of atoms
uncorrected energy	-3.46	eV per atom
symmetry	R3m (160)

[2]
The following is a DFT calculation (GGA-PBE) of a relaxed SrLiAlAu crystal.

Unit cell a=4.511 b=4.519 c=6.096 alpha=111.73 beta=90.00 gamma=119.94
Sites, in units of the cell vectors:
Au (0.425, 0.851, 0.919)
Li (0.815, 0.630, 0.087)
Sr (0.622, 0.245, 0.509)
Al (0.103, 0.207, 0.952)

## Properties
ΔE_f	-48.20	kJ/mol of atoms
relative energy among the computed polymorphs	0	meV/atom
uncorrected energy	-3.15	eV per atom
symmetry	Cm (8)

[3]
The following is a DFT calculation (GGA-PBE) of a relaxed Li2CdHg4 crystal.

Unit cell a=5.545 b=5.545 c=7.073 alpha=113.08 beta=113.08 gamma=90.00
Sites, in units of the cell vectors:
Hg (0.000, 0.500, 0.000)
Hg (0.750, 0.250, 0.500)
Hg (0.250, 0.750, 0.500)
Hg (0.500, 0.000, 0.000)
Li (0.369, 0.369, 0.737)
Li (0.631, 0.631, 0.263)
Cd (0.000, 0.000, 0.000)

## Properties
ΔE_f	-6.67	kJ/mol of atoms
relative energy among the computed polymorphs	132	meV/atom
uncorrected energy	-0.92	eV per atom
symmetry	I4/mmm (139)

[4]
The following is a DFT calculation (GGA-PBE) of a relaxed PmNdMgSb crystal.

Unit cell a=5.441 b=5.441 c=5.441 alpha=60.00 beta=60.00 gamma=60.00
Sites, in units of the cell vectors:
Pm (0.250, 0.250, 0.250)
Nd (0.750, 0.750, 0.750)
Sb (0.000, 0.000, 0.000)
Mg (0.500, 0.500, 0.500)

## Properties
uncorrected energy	-4.27	eV per atom
symmetry	F-43m (216)
formation energy (no corrections)	-178	kJ/mol of formula units

[5]
The following is a DFT calculation (GGA-PBE) of a relaxed Dy4ThPd15 crystal.

Unit cell a=4.146 b=4.146 c=20.665 alpha=90.00 beta=90.00 gamma=90.00
Sites, in units of the cell vectors:
Pd (0.500, 0.000, 0.898)
Pd (0.500, 0.000, 0.500)
Pd (0.500, 0.000, 0.301)
Pd (0.000, 0.500, 0.301)
Pd (0.000, 0.500, 0.500)
Pd (0.500, 0.500, 0.202)
Pd (0.000, 0.500, 0.699)
Pd (0.500, 0.500, 0.599)
Pd (0.500, 0.000, 0.102)
Pd (0.500, 0.500, 0.000)
Pd (0.500, 0.500, 0.401)
Pd (0.500, 0.000, 0.699)
Pd (0.000, 0.500, 0.898)
Pd (0.000, 0.500, 0.102)
Pd (0.500, 0.500, 0.798)
Dy (0.000, 0.000, 0.400)
Dy (0.000, 0.000, 0.600)
Dy (0.000, 0.000, 0.203)
Dy (0.000, 0.000, 0.797)
Th (0.000, 0.000, 0.000)

## Properties
ΔE_f	-88.00	kJ/mol of atoms
uncorrected energy	-6.10	eV per atom
symmetry	P4/mmm (123)

[6]
The following is a DFT calculation (GGA-PBE) of a relaxed MnReAg crystal.

Unit cell a=7.119 b=6.926 c=2.713 alpha=82.90 beta=74.88 gamma=22.22
Site moments in Bohr magnetons follow the coordinates.
Sites, in units of the cell vectors:
Mn (0.324, 0.324, 0.676)  2.85
Re (0.680, 0.680, 0.320)  -0.30
Ag (0.995, 0.995, 0.005)  0.03

## Properties
ΔE_f	38.42	kJ/mol of atoms
relative energy among the computed polymorphs	8	meV/atom
uncorrected energy	-7.76	eV per atom
symmetry	Fmm2 (42)

[7]
The following is a DFT calculation (GGA-PBE) of a relaxed La8Ga2Ru crystal.

Unit cell a=5.329 b=6.939 c=9.739 alpha=107.66 beta=105.88 gamma=90.00
Sites, in units of the cell vectors:
La (0.409, 0.579, 0.818)
La (0.591, 0.421, 0.182)
La (0.211, 0.274, 0.422)
La (0.789, 0.726, 0.578)
La (0.654, 0.942, 0.309)
La (0.013, 0.790, 0.026)
La (0.346, 0.058, 0.691)
La (0.987, 0.210, 0.974)
Ga (0.179, 0.703, 0.358)
Ga (0.821, 0.297, 0.642)
Ru (0.500, 0.000, 0.000)

## Properties
ΔE_f	-26.90	kJ/mol of atoms
uncorrected energy	-5.26	eV per atom
symmetry	C2/m (12)

[8]
The following is a DFT calculation (GGA-PBE) of a relaxed LaScPd2 crystal.

Unit cell a=7.554 b=7.554 c=6.245 alpha=52.78 beta=52.78 gamma=90.00
Sites, in units of the cell vectors:
Pd (0.155, 0.625, 0.250)
Pd (0.875, 0.845, 0.750)
Pd (0.595, 0.125, 0.250)
Pd (0.375, 0.405, 0.750)
La (0.750, 0.250, 0.500)
La (0.000, 0.000, 0.000)
Sc (0.250, 0.750, 0.500)
Sc (0.500, 0.500, 0.000)

## Properties
ΔE_f	-46.60	kJ/mol of atoms
uncorrected energy	-5.89	eV per atom
symmetry	I-42d (122)

[9]
The following is a DFT calculation (GGA-PBE) of a relaxed GeTe4Pd crystal.

Unit cell a=4.164 b=5.320 c=7.125 alpha=90.36 beta=90.00 gamma=90.00
Sites, in units of the cell vectors:
Ge (0.000, 0.500, 0.500)
Te (0.000, 0.225, 0.847)
Te (0.500, 0.789, 0.684)
Te (0.500, 0.211, 0.316)
Te (0.000, 0.775, 0.153)
Pd (0.500, 0.500, 0.000)

## Properties
relative energy among the computed polymorphs	0	meV/atom
uncorrected energy	-3.90	eV per atom
symmetry	P2/m (10)
formation energy (no corrections)	-100	kJ/mol of formula units

[10]
The following is a DFT calculation (GGA-PBE) of a relaxed TbPr4Tm4 crystal.

Unit cell a=5.072 b=8.050 c=8.050 alpha=84.30 beta=71.64 gamma=71.64
Sites, in units of the cell vectors:
Pr (0.667, 0.000, 0.666)
Pr (0.333, 0.334, 0.000)
Pr (0.333, 0.000, 0.334)
Pr (0.667, 0.666, 0.000)
Tm (0.000, 0.663, 0.337)
Tm (0.663, 0.337, 0.337)
Tm (0.337, 0.663, 0.663)
Tm (0.000, 0.337, 0.663)
Tb (0.000, 0.000, 0.000)

## Properties
ΔE_f	2.37	kJ/mol of atoms
uncorrected energy	-4.60	eV per atom
symmetry	I4/mmm (139)

[11]
The following is a DFT calculation (GGA-PBE) of a relaxed In2SbI crystal.

Unit cell a=4.552 b=4.552 c=8.019 alpha=73.51 beta=73.51 gamma=60.00
Sites, in units of the cell vectors:
In (0.266, 0.266, 0.202)
In (0.734, 0.734, 0.798)
Sb (0.000, 0.000, 0.000)
I (0.500, 0.500, 0.500)

## Properties
relative energy among the computed polymorphs	0	meV/atom
uncorrected energy	-2.94	eV per atom
symmetry	R-3m (166)
formation energy (no corrections)	-57	kJ/mol of formula units

[12]
The following is a DFT calculation (GGA-PBE) of a relaxed SmY5Tm2Sc crystal.

Unit cell a=5.536 b=10.346 c=10.352 alpha=90.00 beta=90.00 gamma=105.52
Sites, in units of the cell vectors:
Tm (0.890, 0.779, 0.812)
Tm (0.110, 0.221, 0.312)
Tm (0.885, 0.770, 0.237)
Tm (0.115, 0.230, 0.737)
Sc (0.808, 0.616, 0.517)
Sc (0.192, 0.384, 0.017)
Y (0.700, 0.401, 0.203)
Y (0.983, 0.966, 0.517)
Y (0.373, 0.747, 0.022)
Y (0.627, 0.253, 0.522)
Y (0.727, 0.455, 0.829)
Y (0.273, 0.545, 0.329)
Y (0.017, 0.034, 0.017)
Y (0.300, 0.599, 0.703)
Y (0.481, 0.961, 0.738)
Y (0.519, 0.039, 0.238)
Sm (0.410, 0.820, 0.448)
Sm (0.590, 0.180, 0.948)

## Properties
ΔE_f	16.45	kJ/mol of atoms
uncorrected energy	-5.64	eV per atom
symmetry	Cmc2_1 (36)

[13]
The following is a DFT calculation (GGA-PBE) of a relaxed KFe4Rh crystal.

Unit cell a=5.053 b=5.053 c=5.053 alpha=60.00 beta=60.00 gamma=60.00
Site moments in Bohr magnetons follow the coordinates.
Sites, in units of the cell vectors:
Fe (0.374, 0.877, 0.374)  2.69
Fe (0.877, 0.374, 0.374)  2.69
Fe (0.374, 0.374, 0.374)  2.69
Fe (0.374, 0.374, 0.877)  2.69
K (0.750, 0.750, 0.750)  -0.02
Rh (0.000, 0.000, 0.000)  0.74

## Properties
ΔE_f	69.79	kJ/mol of atoms
uncorrected energy	-6.33	eV per atom
symmetry	F-43m (216)

[14]
The following is a DFT calculation (GGA-PBE) of a relaxed CaPm12Nd6 crystal.

Unit cell a=8.965 b=8.965 c=8.965 alpha=98.91 beta=98.91 gamma=98.91
Sites, in units of the cell vectors:
Nd (0.097, 0.097, 0.657)
Nd (0.903, 0.903, 0.343)
Nd (0.657, 0.097, 0.097)
Nd (0.903, 0.343, 0.903)
Nd (0.343, 0.903, 0.903)
Nd (0.097, 0.657, 0.097)
Pm (0.500, 0.761, 0.239)
Pm (0.500, 0.239, 0.761)
Pm (0.761, 0.239, 0.500)
Pm (0.239, 0.761, 0.500)
Pm (0.642, 0.642, 0.916)
Pm (0.358, 0.084, 0.358)
Pm (0.761, 0.500, 0.239)
Pm (0.084, 0.358, 0.358)
Pm (0.642, 0.916, 0.642)
Pm (0.916, 0.642, 0.642)
Pm (0.358, 0.358, 0.084)
Pm (0.239, 0.500, 0.761)
Ca (0.000, 0.000, 0.000)

## Properties
ΔE_f	17.73	kJ/mol of atoms
uncorrected energy	-4.43	eV per atom
symmetry	R-3m (166)

[15]
The following is a DFT calculation (GGA-PBE) of a relaxed SnTe2Pd2 crystal.

Unit cell a=5.046 b=8.725 c=11.396 alpha=90.00 beta=90.00 gamma=90.00
Sites, in units of the cell vectors:
Te (0.250, 0.046, 0.667)
Te (0.250, 0.879, 0.109)
Te (0.750, 0.121, 0.891)
Te (0.750, 0.954, 0.333)
Te (0.750, 0.621, 0.609)
Te (0.250, 0.546, 0.833)
Te (0.250, 0.379, 0.391)
Te (0.750, 0.454, 0.167)
Sn (0.750, 0.210, 0.588)
Sn (0.250, 0.290, 0.088)
Sn (0.750, 0.710, 0.912)
Sn (0.250, 0.790, 0.412)
Pd (0.750, 0.394, 0.777)
Pd (0.250, 0.106, 0.277)
Pd (0.250, 0.739, 0.645)
Pd (0.750, 0.761, 0.145)
Pd (0.750, 0.894, 0.723)
Pd (0.250, 0.606, 0.223)
Pd (0.750, 0.261, 0.355)
Pd (0.250, 0.239, 0.855)

## Properties
relative energy among the computed polymorphs	0	meV/atom
uncorrected energy	-4.41	eV per atom
symmetry	Pnma (62)
formation energy (no corrections)	-135	kJ/mol of formula units

[16]
The following is a DFT calculation (GGA-PBE) of a relaxed Pr4CuPCl2 crystal.

Unit cell a=4.121 b=7.329 c=7.341 alpha=71.46 beta=90.00 gamma=90.00
Sites, in units of the cell vectors:
Pr (0.000, 0.727, 0.760)
Pr (0.000, 0.273, 0.240)
Pr (0.500, 0.272, 0.735)
Pr (0.500, 0.728, 0.265)
P (0.000, 0.500, 0.500)
Cl (0.500, 0.000, 0.500)
Cl (0.000, 0.000, 0.000)
Cu (0.500, 0.500, 0.000)

## Properties
uncorrected energy	-5.22	eV per atom
symmetry	P2/m (10)
formation energy (no corrections)	-911	kJ/mol of formula units

[17]
The following is a DFT calculation (GGA-PBE) of a relaxed CuAgGe3 crystal.

Unit cell a=4.720 b=4.720 c=4.720 alpha=90.00 beta=90.00 gamma=90.00
Sites, in units of the cell vectors:
Cu (0.000, 0.000, 0.000)
Ag (0.500, 0.500, 0.500)
Ge (0.500, 0.000, 0.000)
Ge (0.000, 0.000, 0.500)
Ge (0.000, 0.500, 0.000)

## Properties
ΔE_f	49.69	kJ/mol of atoms
relative energy among the computed polymorphs	0	meV/atom
uncorrected energy	-3.64	eV per atom
symmetry	Pm-3m (221)

[18]
The following is a DFT calculation (GGA-PBE) of a relaxed TbPr5Sm2 crystal.

Unit cell a=14.208 b=14.208 c=12.732 alpha=51.36 beta=51.36 gamma=100.07
Sites, in units of the cell vectors:
Pr (0.798, 0.979, 0.253)
Pr (0.412, 0.588, 0.250)
Pr (0.202, 0.021, 0.747)
Pr (0.181, 0.462, 0.214)
Pr (0.538, 0.819, 0.286)
Pr (0.979, 0.798, 0.753)
Pr (0.021, 0.202, 0.247)
Pr (0.462, 0.181, 0.714)
Pr (0.588, 0.412, 0.750)
Pr (0.819, 0.538, 0.786)
Tb (0.250, 0.750, 0.750)
Tb (0.750, 0.250, 0.250)
Sm (0.000, 0.500, 0.500)
Sm (0.500, 0.000, 0.000)
Sm (0.500, 0.500, 0.500)
Sm (0.500, 0.500, 0.000)

## Properties
ΔE_f	29.68	kJ/mol of atoms
relative energy among the computed polymorphs	293	meV/atom
uncorrected energy	-4.44	eV per atom
symmetry	C2/c (15)

[19]
The following is a DFT calculation (GGA-PBE) of a relaxed Rb2CePmS4 crystal.

Unit cell a=4.225 b=7.313 c=8.065 alpha=107.58 beta=90.00 gamma=90.00
Site moments in Bohr magnetons follow the coordinates.
Sites, in units of the cell vectors:
S (0.000, 0.733, 0.196)  -0.01
S (0.500, 0.770, 0.804)  -0.01
S (0.000, 0.267, 0.804)  -0.01
S (0.500, 0.230, 0.196)  -0.01
Pm (0.000, 0.000, 0.000)  0.02
Rb (0.000, 0.500, 0.500)  0.00
Rb (0.500, 0.000, 0.500)  0.00
Ce (0.500, 0.500, 0.000)  0.94

## Properties
uncorrected energy	-5.44	eV per atom
symmetry	P2/m (10)
formation energy (no corrections)	-1388	kJ/mol of formula units

[20]
The following is a DFT calculation (GGA-PBE) of a relaxed LuGaPd2 crystal.

Unit cell a=3.363 b=3.363 c=6.240 alpha=90.00 beta=90.00 gamma=90.00
Sites, in units of the cell vectors:
Pd (0.000, 0.000, 0.228)
Pd (0.000, 0.000, 0.772)
Ga (0.500, 0.500, 0.000)
Lu (0.500, 0.500, 0.500)

## Properties
ΔE_f	-75.32	kJ/mol of atoms
uncorrected energy	-5.26	eV per atom
symmetry	P4/mmm (123)